Entry 1:
8
Lattice="5.382 0.000 0.000 2.691 4.661 0.000 2.691 1.554 9.340" Properties=species:S:1:pos:R:3 comment="LaNd2MgTl4, optimized geometry, DFT PBE" final_energy_ev_per_cell=-28.16 sg=R-3m ef_ev_per_fu=-2.639 pbc="T T T"
Tl 5.382 3.107 8.107
Tl 5.382 3.107 1.232
Tl 2.691 1.554 5.858
Tl 8.072 4.661 3.481
La 0.000 0.000 0.000
Mg 5.382 3.107 4.670
Nd 8.072 4.661 6.743
Nd 2.691 1.554 2.597


Entry 2:
4
Lattice="-5.215 -1.748 0.836 -1.136 -3.451 4.213 -2.876 1.830 4.397" Properties=species:S:1:pos:R:3 comment="LaNdMgTl, optimized geometry, DFT PBE" final_energy_ev_per_cell=-14.74 sg=F-43m ef_ev_per_fu=-1.080 pbc="T T T"
La -6.920 -2.527 7.084
Mg -4.614 -1.685 4.723
Tl 0.000 0.000 0.000
Nd -2.307 -0.842 2.361


Entry 3:
12
Lattice="6.326 -0.006 0.017 -3.166 5.476 0.017 -1.095 -1.897 11.738" Properties=species:S:1:pos:R:3 comment="La3Nd6Tm2Mg, optimized geometry, DFT PBE" final_energy_ev_per_cell=-53.51 sg=C2/m ef_ev_per_fu=0.417 pbc="T T T"
Nd 3.128 1.783 8.935
Nd 2.097 3.631 2.869
Nd 2.082 -0.028 2.836
Nd -0.019 3.601 8.935
Nd -0.033 -0.058 8.901
Nd -1.065 1.790 2.836
Mg 0.000 0.000 0.000
La 1.032 1.787 5.885
La -2.121 3.608 5.885
La 4.185 -0.034 5.885
Tm 0.002 3.646 0.017
Tm 3.157 1.824 0.017


Entry 4:
20
Lattice="8.967 -2.343 -2.432 0.844 8.512 -1.124 0.844 -1.438 8.464" Properties=species:S:1:pos:R:3 comment="LaNd6Tm2Mg, optimized geometry, DFT PBE" final_energy_ev_per_cell=-86.06 sg=C2/c ef_ev_per_fu=1.041 pbc="T T T"
Nd 6.285 1.378 3.745
Nd 1.353 -0.552 5.962
Nd 2.796 2.793 7.175
Nd 1.802 4.862 2.731
Nd 4.371 3.353 1.165
Nd 3.377 -1.165 3.068
Nd 5.836 4.807 -1.546
Nd 4.820 -0.077 6.455
Nd 8.854 -0.132 2.178
Nd 7.279 5.895 1.842
Nd 9.303 5.282 -1.053
Nd 7.860 1.937 -2.266
Tm 4.939 4.790 4.292
Tm 5.717 -0.060 0.618
Tm 9.422 2.940 3.730
Tm 1.234 1.791 1.179
La 3.086 7.283 -1.111
La 7.570 -2.552 6.021
Mg 7.570 2.761 0.901
Mg 3.086 1.969 4.009


Entry 5:
12
Lattice="6.256 -0.004 -0.013 -3.130 5.416 -0.013 -1.030 -1.784 11.746" Properties=species:S:1:pos:R:3 comment="La2Nd6Tm3Mg, optimized geometry, DFT PBE" final_energy_ev_per_cell=-53.35 sg=C2/m ef_ev_per_fu=0.125 pbc="T T T"
Tm 4.182 0.004 5.860
Tm -2.087 3.624 5.860
Tm 1.048 1.814 5.860
Nd 3.127 1.844 8.729
Nd 0.035 3.630 8.729
Nd 2.093 3.624 2.989
Nd 2.060 -0.002 2.992
Nd -1.032 1.784 2.992
Nd 0.002 0.004 8.732
La -0.002 3.610 -0.013
La 3.128 1.802 -0.013
Mg 0.000 0.000 0.000


Entry 6:
10
Lattice="-3.558 0.466 -4.438 -0.166 -6.364 -0.536 -7.027 -3.866 5.227" Properties=species:S:1:pos:R:3 comment="LaNd2TmMg, optimized geometry, DFT PBE" final_energy_ev_per_cell=-40.90 sg=P2_1/m ef_ev_per_fu=0.081 pbc="T T T"
Mg -4.154 -4.103 -2.606
Mg -6.597 -5.661 2.859
Nd -5.145 -2.338 2.045
Nd -5.605 -7.426 -1.791
Nd -8.528 -7.408 0.554
Nd -2.223 -2.355 -0.300
Tm -2.716 -0.535 -3.384
Tm -8.035 -9.228 3.637
La -3.695 -5.547 0.545
La -7.056 -4.216 -0.291


Entry 7:
8
Lattice="5.152 0.000 0.000 0.000 5.029 1.114 0.000 2.813 11.110" Properties=species:S:1:pos:R:3 comment="La4Nd2TmMg, optimized geometry, DFT PBE" final_energy_ev_per_cell=-35.32 sg=P4/mmm ef_ev_per_fu=-0.012 pbc="T T T"
Nd 2.576 6.435 6.670
Nd 0.000 2.813 11.110
La 0.000 5.878 9.194
La 2.576 4.478 3.591
La 5.152 1.963 3.031
La 2.576 3.363 8.634
Tm 0.000 3.921 6.112
Mg 2.576 5.327 11.667


Entry 8:
10
Lattice="-1.508 -2.786 6.150 1.350 -7.118 -2.893 5.911 0.450 1.653" Properties=species:S:1:pos:R:3 comment="LaNd2YMg, optimized geometry, DFT PBE" final_energy_ev_per_cell=-43.71 sg=Pmma ef_ev_per_fu=0.664 pbc="T T T"
Y 4.861 -3.679 0.802
Y 0.893 -5.775 4.107
Nd 1.998 -5.770 0.152
Nd 3.756 -3.684 4.757
Nd 4.328 -6.701 3.531
Nd 1.426 -2.753 1.378
La 0.588 -1.532 4.044
La 3.816 -0.804 3.759
Mg 0.000 0.000 0.000
Mg 2.956 0.225 0.826


Entry 9:
8
Lattice="5.166 0.000 0.000 0.000 5.044 1.123 0.000 2.812 11.156" Properties=species:S:1:pos:R:3 comment="La4Nd2YMg, optimized geometry, DFT PBE" final_energy_ev_per_cell=-37.32 sg=P4/mmm ef_ev_per_fu=-0.014 pbc="T T T"
Nd 0.000 2.812 11.156
Nd 2.583 1.406 5.578
La 0.000 5.883 9.250
La 5.166 1.973 3.029
La 2.583 3.361 8.684
La 2.583 4.495 3.595
Y 0.000 3.928 6.140
Mg 2.583 2.522 0.562


Entry 10:
12
Lattice="-0.454 3.312 5.380 -5.233 -2.088 -2.894 2.474 -10.457 5.396" Properties=species:S:1:pos:R:3 comment="La3Nd6Y2Mg, optimized geometry, DFT PBE" final_energy_ev_per_cell=-57.58 sg=C2/m ef_ev_per_fu=0.329 pbc="T T T"
Nd -0.001 -1.351 3.289
Nd -1.581 -3.136 0.554
Nd -3.659 -1.640 3.183
Nd -1.632 -6.096 7.328
Nd -3.212 -7.881 4.592
Nd 0.445 -7.592 4.698
La -1.607 -4.616 3.941
La -0.020 -2.824 6.687
La -3.193 -6.409 1.194
Mg 0.000 0.000 0.000
Y -2.048 1.512 2.621
Y -3.640 -0.287 -0.136


Entry 11:
12
Lattice="6.294 -0.004 -0.010 -3.149 5.450 -0.010 -1.041 -1.802 11.827" Properties=species:S:1:pos:R:3 comment="La2Nd6Y3Mg, optimized geometry, DFT PBE" final_energy_ev_per_cell=-59.36 sg=C2/m ef_ev_per_fu=0.093 pbc="T T T"
La -0.004 3.634 -0.010
La 3.149 1.812 -0.010
Y 1.052 1.822 5.903
Y 4.207 0.000 5.903
Y -2.103 3.644 5.903
Nd 2.074 -0.003 2.983
Nd 0.031 3.648 8.823
Nd 3.144 1.850 8.823
Nd -0.001 -0.001 8.824
Nd -1.039 1.795 2.983
Nd 2.106 3.646 2.981
Mg 0.000 0.000 0.000


Entry 12:
20
Lattice="9.492 -2.129 -2.209 0.610 8.609 -1.880 0.610 -2.198 8.533" Properties=species:S:1:pos:R:3 comment="La2Nd6YMg, optimized geometry, DFT PBE" final_energy_ev_per_cell=-91.09 sg=C2/c ef_ev_per_fu=0.975 pbc="T T T"
Nd 1.821 4.681 2.723
Nd 3.778 6.987 1.063
Nd 4.146 2.799 0.770
Nd 8.892 -0.398 1.721
Nd 4.959 -0.700 6.011
Nd 9.706 4.969 -1.581
Nd 6.567 1.484 3.674
Nd 5.753 4.983 -1.567
Nd 2.188 4.543 -1.472
Nd 1.007 -0.686 6.026
Nd 6.934 -2.704 3.381
Nd 8.524 -0.261 5.916
La 0.777 2.004 1.073
La 9.936 2.278 3.371
La 5.523 -0.066 0.938
La 5.190 4.349 3.506
Y 7.729 -3.679 6.766
Y 2.983 7.962 -2.321
Mg 2.983 1.627 3.783
Mg 7.729 2.656 0.661


Entry 13:
12
Lattice="-3.330 -4.648 2.516 3.792 -1.134 -4.834 8.657 -0.352 8.220" Properties=species:S:1:pos:R:3 comment="La3Nd2Y6Mg, optimized geometry, DFT PBE" final_energy_ev_per_cell=-64.46 sg=C2/m ef_ev_per_fu=0.241 pbc="T T T"
La 4.559 -3.067 2.951
La 6.935 -1.894 0.499
La 2.183 -4.240 5.403
Y 2.480 -4.431 0.284
Y 6.639 -1.704 5.618
Y 3.423 -0.935 0.234
Y 1.066 -2.098 2.666
Y 5.695 -5.199 5.669
Y 8.052 -4.036 3.236
Nd 1.416 -2.306 -2.381
Nd -0.954 -3.476 0.064
Mg 0.000 0.000 0.000


Entry 14:
12
Lattice="-0.598 3.283 -1.379 -6.775 2.655 9.264 8.843 3.862 5.360" Properties=species:S:1:pos:R:3 comment="La2NdY2Mg, optimized geometry, DFT PBE" final_energy_ev_per_cell=-52.91 sg=Pnnm ef_ev_per_fu=2.693 pbc="T T T"
La 3.640 4.058 8.087
La 1.491 2.761 1.200
La -1.571 2.459 6.537
La -0.021 7.039 12.045
Y -1.200 0.962 2.813
Y -1.653 5.344 8.716
Y 3.123 4.456 4.529
Y 3.269 5.555 11.811
Nd 4.422 1.931 2.680
Nd -3.686 2.969 3.943
Mg 0.000 0.000 0.000
Mg 0.735 4.900 6.623


Entry 15:
20
Lattice="5.157 0.000 0.000 0.000 10.763 0.000 0.000 0.000 10.763" Properties=species:S:1:pos:R:3 comment="La2NdY2Mg5, optimized geometry, DFT PBE" final_energy_ev_per_cell=-70.99 sg=P4/mbm ef_ev_per_fu=0.030 pbc="T T T"
Mg 2.579 0.775 8.616
Mg 2.579 8.616 9.987
Mg 2.579 3.234 6.157
Mg 2.579 5.381 0.000
Mg 2.579 0.000 5.381
Mg 2.579 9.987 2.147
Mg 2.579 2.147 0.775
Mg 2.579 4.606 3.234
Mg 2.579 6.157 7.528
Mg 2.579 7.528 4.606
La 0.000 3.487 8.868
La 0.000 7.276 1.895
La 0.000 8.868 7.276
La 0.000 1.895 3.487
Y 0.000 6.680 9.464
Y 0.000 4.083 1.299
Y 0.000 1.299 6.680
Y 0.000 9.464 4.083
Nd 0.000 5.381 5.381
Nd 0.000 0.000 0.000


Entry 16:
18
Lattice="-4.988 -6.839 -0.517 6.996 -4.985 -1.552 0.948 -1.339 8.573" Properties=species:S:1:pos:R:3 comment="La5Nd2YMg, optimized geometry, DFT PBE" final_energy_ev_per_cell=-80.60 sg=P4/mbm ef_ev_per_fu=1.934 pbc="T T T"
Mg 0.000 0.000 0.000
Mg 3.972 -3.162 3.511
La -2.494 -3.420 -0.258
La 1.478 -6.581 3.252
La -1.730 -7.423 5.402
La 1.831 -10.005 5.196
La 1.125 -3.158 1.309
La 1.134 -3.496 5.699
La 1.822 -9.667 0.806
La -1.739 -7.085 1.012
La 4.695 -6.078 5.493
La 4.686 -5.739 1.103
Y 3.498 -2.492 -0.776
Y 0.474 -0.669 4.287
Nd 0.983 -6.480 6.683
Nd 4.238 -8.629 3.711
Nd 1.973 -6.683 -0.178
Nd -1.282 -4.534 2.794


Entry 17:
20
Lattice="5.163 0.000 0.000 0.000 10.746 0.000 0.000 0.000 10.746" Properties=species:S:1:pos:R:3 comment="La2Nd2YMg5, optimized geometry, DFT PBE" final_energy_ev_per_cell=-67.81 sg=P4/mbm ef_ev_per_fu=-0.079 pbc="T T T"
Mg 2.582 6.163 7.449
Mg 2.582 9.955 2.076
Mg 2.582 3.297 6.163
Mg 2.582 5.373 0.000
Mg 2.582 0.000 5.373
Mg 2.582 4.583 3.297
Mg 2.582 0.790 8.669
Mg 2.582 8.669 9.955
Mg 2.582 2.076 0.790
Mg 2.582 7.449 4.583
Y 0.000 5.373 5.373
Y 0.000 0.000 0.000
La 0.000 8.879 7.240
La 0.000 7.240 1.867
La 0.000 1.867 3.506
La 0.000 3.506 8.879
Nd 0.000 1.335 6.708
Nd 0.000 9.411 4.038
Nd 0.000 6.708 9.411
Nd 0.000 4.038 1.335


Entry 18:
20
Lattice="-2.429 -4.157 -8.235 8.467 -2.179 -0.466 -3.529 -6.184 5.094" Properties=species:S:1:pos:R:3 comment="La6Nd2YMg, optimized geometry, DFT PBE" final_energy_ev_per_cell=-92.55 sg=C2/c ef_ev_per_fu=0.883 pbc="T T T"
Nd 1.197 -10.320 -3.736
Nd 1.311 -2.200 0.129
Nd 3.191 -7.982 0.020
Nd -0.682 -4.539 -3.627
Y 6.993 -3.508 -2.123
Y -4.484 -9.013 -1.484
La -2.124 -4.293 -0.353
La 3.979 -4.556 1.065
La 4.633 -8.227 -3.254
La 4.670 -7.394 -6.673
La -2.099 -7.981 1.145
La 0.730 -7.858 3.236
La -2.161 -5.126 3.067
La -0.197 -7.623 -1.680
La 2.706 -4.897 -1.927
La -1.470 -7.965 -4.672
La 4.607 -4.539 -4.752
La 1.779 -4.662 -6.843
Mg 0.714 -5.604 0.787
Mg 1.795 -6.916 -4.394


Entry 19:
20
Lattice="8.984 -2.334 -2.422 0.835 8.563 -1.087 0.835 -1.404 8.517" Properties=species:S:1:pos:R:3 comment="LaNd6Y2Mg, optimized geometry, DFT PBE" final_energy_ev_per_cell=-94.15 sg=C2/c ef_ev_per_fu=0.982 pbc="T T T"
Nd 9.290 5.355 -0.968
Nd 1.784 4.915 2.738
Nd 3.383 -1.134 3.103
Nd 6.276 1.387 3.802
Nd 4.798 0.001 6.526
Nd 2.780 2.849 7.236
Nd 5.857 4.824 -1.519
Nd 7.272 5.959 1.904
Nd 1.365 -0.530 5.975
Nd 4.379 3.438 1.205
Nd 7.875 1.976 -2.229
Nd 8.872 -0.090 2.269
Y 4.910 4.854 4.390
Y 9.402 3.040 3.802
Y 5.745 -0.029 0.617
Y 1.253 1.784 1.205
La 7.574 -2.477 6.047
La 3.082 7.302 -1.040
Mg 7.574 2.813 0.950
Mg 3.082 2.012 4.058